# 1
Here is an optimized crystal structure of ZrSn3Rh from Alexandria via LeMat-Bulk. Energies are from PBE-GGA.

a = 5.456 Å, b = 5.456 Å, c = 5.456 Å
α = 90.00°, β = 90.00°, γ = 90.00°
Fractional coordinates of all 5 atoms:
Rh  0.500  0.500  0.500
Sn  0.000  0.500  0.000
Sn  0.000  0.000  0.500
Sn  0.500  0.000  0.000
Zr  0.000  0.000  0.000

Summary:
DOS at the Fermi energy in states/eV per atom: 1.416
Distance to the lowest polymorph of the same formula in kJ/mol of atoms: 59.75
Energy of formation in eV per atom: 0.95


# 2
Here is an optimized crystal structure of ZrSnRh4 from Alexandria via LeMat-Bulk. Energies are from PBE-GGA.

a = 4.289 Å, b = 4.290 Å, c = 6.193 Å
α = 89.99°, β = 89.99°, γ = 90.00°
Fractional coordinates of all 6 atoms:
Zr  0.501  0.497  0.998
Sn  0.001  0.997  0.498
Rh  0.501  0.997  0.248
Rh  0.501  0.997  0.748
Rh  0.001  0.497  0.748
Rh  0.001  0.497  0.248

Summary:
DOS at the Fermi energy in states/eV per atom: 0.810
Energy of formation in eV per atom: -0.18


# 3
Here is an optimized crystal structure of Zr2Sn2Rh from Alexandria via LeMat-Bulk. Energies are from PBE-GGA.

a = 6.884 Å, b = 6.884 Å, c = 4.485 Å
α = 90.00°, β = 90.00°, γ = 90.00°
Fractional coordinates of all 10 atoms:
Rh  0.000  0.000  0.000
Rh  0.500  0.500  0.000
Sn  0.353  0.853  0.000
Sn  0.853  0.647  0.000
Sn  0.647  0.147  0.000
Sn  0.147  0.353  0.000
Zr  0.162  0.662  0.500
Zr  0.662  0.838  0.500
Zr  0.838  0.338  0.500
Zr  0.338  0.162  0.500

Summary:
DOS at the Fermi energy in states/eV per atom: 0.622
Energy of formation in eV per atom: -0.49